(1)
CsK2O: optimized geometry, PBE.

Values from the calculation:
Its space group is I-42d, No. 122. Its formation energy (no corrections) is -0.595 eV per atom.

The structure in extended XYZ format:
```
8
Lattice="-3.4601 -7.1633 -2.7316 7.6601 -3.3519 -0.9131 1.8809 -7.2750 3.7455" Properties=species:S:1:pos:R:3 pbc="T T T"
K 3.1929 -13.8288 -0.1543
Cs 0.0000 0.0000 0.0000
K 3.9703 -6.5791 -0.6507
K 0.1202 -4.9447 -0.2100
O 2.1000 -5.2576 -1.8223
Cs 0.2604 -9.8479 -0.4042
K 4.8785 -10.2277 1.2168
O 5.8205 -7.9422 0.5050
```


(2)
Ni4AgSn: optimized geometry, PBE.

Values from the calculation:
Its space group is F-43m, No. 216. As for the formation energy from the elements: 0.04 eV/atom.

The structure in extended XYZ format:
```
6
Lattice="-1.8419 4.2658 -1.4584 -2.8348 2.5821 3.0021 1.6494 4.1536 1.9350" Properties=species:S:1:pos:R:3 pbc="T T T"
Ni -2.7164 4.7994 1.2069
Ni -1.8920 6.8755 2.1741
Ag -0.7568 2.7504 0.8697
Ni -0.4750 5.5848 0.6735
Ni -0.9713 4.7433 2.9030
Sn 0.0000 0.0000 0.0000
```


(3)
Y2CuOs: optimized geometry, PBE.

Values from the calculation:
Its space group is F-43m, No. 216. As for the formation energy from the elements: 0.20 eV/atom.

The structure in extended XYZ format:
```
4
Lattice="-3.8024 0.4583 -2.8685 -4.4065 0.0838 1.8635 -2.5207 4.0673 0.0002" Properties=species:S:1:pos:R:3 pbc="T T T"
Os -8.0472 3.4570 -0.7536
Y -2.6824 1.1523 -0.2512
Y 0.0000 0.0000 0.0000
Cu -5.3648 2.3047 -0.5024
```


(4)
TlAsCBr2: optimized geometry, PBE.

Values from the calculation:
Its space group is P4/mmm, No. 123. The calculation puts the excess energy over the best structure of this formula in the dataset at 93.3 kJ per mole of atoms. Its formation energy (no corrections) is 1.727 eV per atom.

The structure in extended XYZ format:
```
5
Lattice="-4.0481 1.2561 3.8777 -4.0584 -0.7344 -3.9989 -0.3680 -5.4013 1.3655" Properties=species:S:1:pos:R:3 pbc="T T T"
Br -2.0292 -0.3672 -1.9994
As -0.1840 -2.7007 0.6827
Br -2.0240 0.6280 1.9388
C -4.2373 -2.4398 0.6222
Tl 0.0000 0.0000 0.0000
```


(5)
Ho3Ga3Ag: optimized geometry, PBE.

Values from the calculation:
Its space group is C2/m, No. 12. As for the formation energy from the elements: -0.56 eV/atom.

The structure in extended XYZ format:
```
14
Lattice="-1.1472 -4.1577 -0.8767 3.0824 -3.8351 3.1061 -9.3628 -1.7723 9.6089" Properties=species:S:1:pos:R:3 pbc="T T T"
Ho -5.4526 -4.5194 6.4726
Ag -3.1559 -5.5652 8.4266
Ga -1.2708 -4.3913 0.3928
Ho -5.8040 -7.3174 9.1538
Ho 0.8000 -5.3891 2.4146
Ga -6.1568 -5.3737 11.4455
Ga -3.9582 -7.3018 6.6641
Ho -8.2276 -4.3760 9.4237
Ga -3.4694 -2.4633 5.1742
Ho -1.9749 -5.2456 5.3657
Ag -4.2717 -4.1999 3.4117
Ga -0.7273 -7.6043 3.8711
Ga -6.7003 -2.1608 7.9672
Ho -1.6235 -2.4477 2.6845
```


(6)
Ce8GaSn2: optimized geometry, PBE.

Values from the calculation:
Its space group is C2/m, No. 12. As for the formation energy from the elements: -0.27 eV/atom.

The structure in extended XYZ format:
```
11
Lattice="5.7250 1.7437 0.0000 2.8020 8.2812 0.0000 1.4010 4.1406 7.1792" Properties=species:S:1:pos:R:3 pbc="T T T"
Ce 4.0270 11.0206 5.8259
Ce 5.6645 9.1531 3.1203
Sn 2.8020 8.2812 4.3577
Ce 4.2635 5.0125 4.0590
Sn 1.4010 4.1406 2.8215
Ce 2.6260 6.8800 1.3534
Ce 2.9746 3.7131 0.0000
Ce 5.5524 6.3118 0.0000
Ga 2.8625 0.8719 0.0000
Ce 7.3019 7.2855 5.8259
Ce 5.9009 3.1449 1.3534
```


(7)
Be3CBr: optimized geometry, PBE.

Values from the calculation:
Its space group is Pm-3m, No. 221. The calculation puts the excess energy over the best structure of this formula in the dataset at 0.0 kJ per mole of atoms. Its formation energy (no corrections) is 0.463 eV per atom.

The structure in extended XYZ format:
```
5
Lattice="3.7624 0.0000 0.0000 0.0000 3.7624 0.0000 0.0000 0.0000 3.7624" Properties=species:S:1:pos:R:3 pbc="T T T"
Br 1.8812 1.8812 1.8812
Be 1.8812 0.0000 0.0000
Be 0.0000 0.0000 1.8812
C 0.0000 0.0000 0.0000
Be 0.0000 1.8812 0.0000
```


(8)
NaLa2YRu: optimized geometry, PBE.

Values from the calculation:
Its space group is P4/mmm, No. 123. The calculation puts the excess energy over the best structure of this formula in the dataset at 0.0 kJ per mole of atoms. As for the formation energy from the elements: -0.09 eV/atom.

The structure in extended XYZ format:
```
5
Lattice="-3.6444 -3.0350 -2.9247 3.2950 0.3596 -4.4789 2.6311 -4.6639 1.5612" Properties=species:S:1:pos:R:3 pbc="T T T"
La -1.8222 -1.5175 -1.4624
Na 1.1408 -3.6697 -2.9212
La 1.6475 0.1798 -2.2395
Ru 0.0000 0.0000 0.0000
Y 1.3156 -2.3320 0.7806
```


(9)
CaRu4Cl: optimized geometry, PBE.

Values from the calculation:
Its space group is F-43m, No. 216. Its formation energy (no corrections) is 0.676 eV per atom.

The structure in extended XYZ format:
```
6
Lattice="-4.8637 1.4167 1.6540 -3.2531 2.6705 -3.2686 -4.3064 -2.4021 -2.0207" Properties=species:S:1:pos:R:3 pbc="T T T"
Ca -9.3174 1.2638 -2.7265
Ru -4.6508 0.6308 -1.3609
Ru -7.0950 1.3428 -0.5297
Ru -6.8150 -0.5764 -2.3765
Ru -6.2857 1.9729 -3.0036
Cl 0.0000 0.0000 0.0000
```


(10)
Pm2Y2Th: optimized geometry, PBE.

Values from the calculation:
Its space group is C2/m, No. 12. The calculation puts the excess energy over the best structure of this formula in the dataset at 8.5 kJ per mole of atoms. As for the formation energy from the elements: 0.14 eV/atom.

The structure in extended XYZ format:
```
10
Lattice="7.8825 0.0000 3.4751 3.9412 4.9238 1.7376 0.7854 0.0000 9.1075" Properties=species:S:1:pos:R:3 pbc="T T T"
Pm 9.3800 1.7437 6.7404
Pm 3.2291 3.1801 7.5798
Th 7.8825 1.6394 3.4751
Pm 7.1704 1.7437 9.3173
Y 2.4587 0.0000 6.2672
Y 3.9096 0.0000 9.3781
Y 4.7583 0.0000 3.2045
Pm 5.4388 3.1801 5.0029
Y 6.2091 0.0000 6.3154
Th 3.9412 3.2844 1.7376
```


(11)
MgMn2Br: optimized geometry, PBE.

Values from the calculation:
Its space group is F-43m, No. 216. The calculation puts the excess energy over the best structure of this formula in the dataset at 45.8 kJ per mole of atoms. Its formation energy (no corrections) is 0.697 eV per atom.

The structure in extended XYZ format:
```
4
Lattice="4.7433 0.0000 0.0000 2.3717 4.1078 0.0000 2.3717 1.3693 3.8729" Properties=species:S:1:pos:R:3 pbc="T T T"
Mg 2.3717 1.3693 0.9682
Br 4.7433 2.7386 1.9364
Mn 0.0000 0.0000 0.0000
Mn 7.1150 4.1078 2.9047
```


(12)
Pm2MnAs: optimized geometry, PBE.

Values from the calculation:
Its space group is P4/mmm, No. 123. The calculation puts the excess energy over the best structure of this formula in the dataset at 0.0 kJ per mole of atoms. As for the formation energy from the elements: -0.38 eV/atom.

The structure in extended XYZ format:
```
4
Lattice="3.7715 0.0000 0.0000 0.0000 5.0307 0.0000 0.0000 0.0000 5.0307" Properties=species:S:1:pos:R:3 pbc="T T T"
Pm 0.0000 0.0000 2.5153
Pm 0.0000 2.5153 0.0000
Mn 1.8857 0.0000 0.0000
As 1.8857 2.5153 2.5153
```


(13)
Cs3Hg2Bi: optimized geometry, PBE.

Values from the calculation:
Its space group is P2_1/c, No. 14. As for the formation energy from the elements: -0.31 eV/atom.

The structure in extended XYZ format:
```
24
Lattice="8.4980 0.0000 -4.3168 0.0000 11.5831 0.0000 -0.6235 0.0000 14.3317" Properties=species:S:1:pos:R:3 pbc="T T T"
Hg 6.3156 4.7157 -0.2376
Cs 1.4187 0.6787 5.0009
Cs 1.1454 10.8460 12.7489
Bi 0.5614 4.0431 2.9645
Cs 8.1982 7.9583 -0.9618
Cs 2.1683 5.0544 6.5903
Hg 6.8736 8.7601 9.8267
Cs 6.4558 10.9044 5.0140
Hg 4.9381 2.9686 5.1957
Hg 2.9363 8.6145 4.8193
Bi 4.4986 1.7484 7.9720
Bi 3.3758 9.8347 2.0430
Cs 4.2370 2.1667 1.6524
Hg 6.1197 10.5072 0.9282
Hg 1.0009 2.8230 0.1882
Hg 1.7548 1.0759 9.0867
Cs 5.3559 5.1129 10.0084
Bi 7.3131 7.5400 7.0504
Cs 3.6374 9.4164 8.3625
Cs 2.5185 6.4702 0.0066
Hg 1.5589 6.8674 10.2525
Cs 6.7291 0.7371 -2.7339
Cs 5.7062 6.5287 3.4246
Cs -0.3237 3.6248 10.9767
```